## LiBPd3 (PBE-GGA)

Data for a relaxed LiBPd3 crystal.

Lattice parameters (Å, degrees): 4.155 4.155 4.155 90.00 90.00 90.00
Fractional coordinates of all 5 atoms:
1 Li 0.000 0.000 0.000
2 B 0.500 0.500 0.500
3 Pd 0.000 0.500 0.500
4 Pd 0.500 0.000 0.500
5 Pd 0.500 0.500 0.000

Energy of formation from the pure elements: -0.364 eV/atom
Energy: -5.198 eV per atom
Total magnetic moment: 0.000 μB/cell


## Sb4C (PBE-GGA)

Data for a relaxed Sb4C crystal.

Lattice parameters (Å, degrees): 5.733 5.733 5.733 114.19 114.19 100.39
Fractional coordinates of all 5 atoms:
1 Sb 0.221 0.221 0.000
2 Sb 0.250 0.750 0.500
3 Sb 0.750 0.250 0.500
4 Sb 0.779 0.779 0.000
5 C 0.500 0.500 0.000

Energy: -4.156 eV per atom
Uncorrected formation energy: 4.93 eV per formula unit
ΔE to the lowest computed polymorph: 0.086 eV/atom
Total magnetic moment: 1.278 μB/cell


## NaMg14Bi (PBE-GGA)

Data for a relaxed NaMg14Bi crystal.

Lattice parameters (Å, degrees): 10.504 6.546 6.546 58.10 90.00 90.00
Fractional coordinates of all 16 atoms:
1 Na 0.000 0.000 0.000
2 Mg 0.000 0.002 0.496
3 Mg 0.000 0.496 0.002
4 Mg 0.249 0.669 0.669
5 Mg 0.253 0.167 0.167
6 Mg 0.257 0.161 0.664
7 Mg 0.257 0.664 0.161
8 Mg 0.500 0.002 0.503
9 Mg 0.500 0.004 0.004
10 Mg 0.500 0.503 0.002
11 Mg 0.500 0.505 0.505
12 Mg 0.743 0.161 0.664
13 Mg 0.743 0.664 0.161
14 Mg 0.747 0.167 0.167
15 Mg 0.751 0.669 0.669
16 Bi 0.000 0.496 0.496

Energy of formation from the pure elements: -0.006 eV/atom
Energy: -1.726 eV per atom
ΔE to the lowest computed polymorph: 0.000 eV/atom
Total magnetic moment: 0.000 μB/cell